Here is crystalline CrTeRhAu2 at its relaxed geometry from Alexandria. Energies are from PBE.

Lattice parameters (Å, degrees): 4.8238 4.8238 4.7808 90.00 90.00 90.00
Atoms (fractional coordinates):
1 Cr 0.0000 0.0000 0.0000
2 Te 0.0000 0.0000 0.5000
3 Rh 0.5000 0.5000 0.5000
4 Au 0.0000 0.5000 0.0000
5 Au 0.5000 0.0000 0.0000

Output
E_form (uncorrected) = 1089 meV/atom
Total magnetization = 0.000 μB per atom
Crystal system = tetragonal
DFT total energy = -4.245 eV/atom
Space-group type = P4/mmm (123)


Here is crystalline In6GaSn2 at its relaxed geometry from Alexandria. Energies are from PBE.

Lattice parameters (Å, degrees): 7.3030 7.3030 5.3625 90.03 90.03 60.06
Atoms (fractional coordinates):
1 In 0.1319 0.6845 0.7141
2 In 0.3155 0.8681 0.2859
3 In 0.3160 0.3160 0.2867
4 In 0.6840 0.6840 0.7133
5 In 0.6845 0.1319 0.7141
6 In 0.8681 0.3155 0.2859
7 Ga 0.5000 0.5000 0.0000
8 Sn 0.1666 0.1666 0.7794
9 Sn 0.8334 0.8334 0.2206

Output
Energy relative to the lowest polymorph listed for this composition = 59 meV per atom
Total magnetization = 0.000 μB per atom
Formation energy = 0.090 eV per atom
Crystal system = monoclinic
DFT total energy = -2.961 eV/atom
Space-group type = C2/m (12)


Here is crystalline IrRu2Rh at its relaxed geometry from Alexandria. Energies are from PBE.

Lattice parameters (Å, degrees): 2.7249 2.7249 26.4751 90.00 90.00 120.00
Atoms (fractional coordinates):
1 Ir 0.0000 0.0000 0.0000
2 Ir 0.3333 0.6667 0.6667
3 Ir 0.6667 0.3333 0.3333
4 Ru 0.0000 0.0000 0.2500
5 Ru 0.0000 0.0000 0.7500
6 Ru 0.3333 0.6667 0.4166
7 Ru 0.3333 0.6667 0.9167
8 Ru 0.6667 0.3333 0.0833
9 Ru 0.6667 0.3333 0.5834
10 Rh 0.0000 0.0000 0.5000
11 Rh 0.3333 0.6667 0.1667
12 Rh 0.6667 0.3333 0.8333

Output
Energy relative to the lowest polymorph listed for this composition = 72 meV per atom
Total magnetization = 0.000 μB per atom
Formation energy = 0.078 eV per atom
Crystal system = trigonal
DFT total energy = -8.613 eV/atom
Space-group type = R-3m (166)


Here is crystalline CeSmPbN at its relaxed geometry from Alexandria. Energies are from PBE.

Lattice parameters (Å, degrees): 4.7084 4.7084 9.0782 90.00 90.00 90.00
Atoms (fractional coordinates):
1 Ce 0.2500 0.2500 0.1786
2 Ce 0.7500 0.7500 0.8214
3 Sm 0.2500 0.7500 0.5000
4 Sm 0.7500 0.2500 0.5000
5 Pb 0.2500 0.2500 0.8041
6 Pb 0.7500 0.7500 0.1959
7 N 0.2500 0.2500 0.4124
8 N 0.7500 0.7500 0.5876

Output
E_form (uncorrected) = -996 meV/atom
Total magnetization = 0.032 μB per atom
Crystal system = tetragonal
DFT total energy = -6.667 eV/atom
Space-group type = P4/nmm (129)


Here is crystalline BaMnIr at its relaxed geometry from Alexandria. Energies are from PBE.

Lattice parameters (Å, degrees): 4.0276 4.0276 5.2783 90.00 90.00 120.00
Atoms (fractional coordinates):
1 Ba 0.0000 0.0000 0.0000
2 Mn 0.6667 0.3333 0.5000
3 Ir 0.3333 0.6667 0.5000

Output
Energy relative to the lowest polymorph listed for this composition = 224 meV per atom
Total magnetization = 0.003 μB per atom
Formation energy = 0.237 eV per atom
Crystal system = hexagonal
DFT total energy = -6.414 eV/atom
Space-group type = P-6m2 (187)


Here is crystalline Ga6NiRh5 at its relaxed geometry from Alexandria. Energies are from PBE.

Lattice parameters (Å, degrees): 7.3072 7.3072 4.3503 102.89 102.89 47.58
Atoms (fractional coordinates):
1 Ga 0.0819 0.5881 0.3278
2 Ga 0.2437 0.7563 0.0000
3 Ga 0.4119 0.9181 0.6722
4 Ga 0.5881 0.0819 0.3278
5 Ga 0.7563 0.2437 0.0000
6 Ga 0.9181 0.4119 0.6722
7 Ni 0.0000 0.0000 0.5000
8 Rh 0.1661 0.1661 0.1868
9 Rh 0.3343 0.3343 0.8393
10 Rh 0.5000 0.5000 0.5000
11 Rh 0.6657 0.6657 0.1607
12 Rh 0.8339 0.8339 0.8132

Output
Total magnetization = 0.000 μB per atom
Formation energy = -0.616 eV per atom
Crystal system = monoclinic
DFT total energy = -5.675 eV/atom
Space-group type = C2/m (12)


Here is crystalline La8Ag2Ru3 at its relaxed geometry from Alexandria. Energies are from PBE.

Lattice parameters (Å, degrees): 9.0425 5.1017 9.0810 90.00 112.05 90.00
Atoms (fractional coordinates):
1 La 0.1098 0.0000 0.3891
2 La 0.1421 0.5000 0.8643
3 La 0.3628 0.5000 0.6413
4 La 0.3862 0.0000 0.1140
5 La 0.6138 0.0000 0.8860
6 La 0.6372 0.5000 0.3587
7 La 0.8579 0.5000 0.1357
8 La 0.8902 0.0000 0.6109
9 Ag 0.2465 0.5000 0.2540
10 Ag 0.7535 0.5000 0.7460
11 Ru 0.2466 0.0000 0.7466
12 Ru 0.5000 0.5000 0.0000
13 Ru 0.7534 0.0000 0.2534

Output
Total magnetization = 0.000 μB per atom
Formation energy = -0.173 eV per atom
Crystal system = monoclinic
DFT total energy = -5.785 eV/atom
Space-group type = P2/m (10)


Here is crystalline ScTlCu2 at its relaxed geometry from Alexandria. Energies are from PBE.

Lattice parameters (Å, degrees): 3.3914 3.3914 23.9020 90.00 90.00 120.00
Atoms (fractional coordinates):
1 Sc 0.0000 0.0000 0.0000
2 Sc 0.3333 0.6667 0.6667
3 Sc 0.6667 0.3333 0.3333
4 Tl 0.0000 0.0000 0.5000
5 Tl 0.3333 0.6667 0.1667
6 Tl 0.6667 0.3333 0.8333
7 Cu 0.0000 0.0000 0.2533
8 Cu 0.0000 0.0000 0.7467
9 Cu 0.3333 0.6667 0.4134
10 Cu 0.3333 0.6667 0.9200
11 Cu 0.6667 0.3333 0.0800
12 Cu 0.6667 0.3333 0.5866

Output
Total magnetization = 0.000 μB per atom
Formation energy = 0.164 eV per atom
Crystal system = trigonal
DFT total energy = -4.058 eV/atom
Space-group type = R-3m (166)


Here is crystalline SrAlAg3 at its relaxed geometry from Alexandria. Energies are from PBE.

Lattice parameters (Å, degrees): 6.5855 7.6371 5.0050 90.00 90.00 90.00
Atoms (fractional coordinates):
1 Sr 0.0000 0.0000 0.0000
2 Sr 0.5000 0.5000 0.0000
3 Al 0.0000 0.5000 0.5000
4 Al 0.5000 0.0000 0.5000
5 Ag 0.0000 0.5000 0.0000
6 Ag 0.2500 0.2500 0.5000
7 Ag 0.2500 0.7500 0.5000
8 Ag 0.5000 0.0000 0.0000
9 Ag 0.7500 0.2500 0.5000
10 Ag 0.7500 0.7500 0.5000

Output
Energy relative to the lowest polymorph listed for this composition = 122 meV per atom
Total magnetization = 0.000 μB per atom
Formation energy = -0.084 eV per atom
Crystal system = orthorhombic
DFT total energy = -2.880 eV/atom
Space-group type = Cmmm (65)


Here is crystalline LaWAu at its relaxed geometry from Alexandria. Energies are from PBE.

Lattice parameters (Å, degrees): 2.9969 2.9969 7.9976 90.00 90.00 120.00
Atoms (fractional coordinates):
1 La 0.0000 0.0000 0.0000
2 W 0.6667 0.3333 0.3529
3 Au 0.3333 0.6667 0.6376

Output
Energy relative to the lowest polymorph listed for this composition = 226 meV per atom
Total magnetization = 0.000 μB per atom
Formation energy = 0.564 eV per atom
Crystal system = trigonal
DFT total energy = -6.489 eV/atom
Space-group type = P3m1 (156)


Here is crystalline Mg5MnRh6 at its relaxed geometry from Alexandria. Energies are from PBE.

Lattice parameters (Å, degrees): 6.9128 6.9128 6.2175 90.00 90.00 143.14
Atoms (fractional coordinates):
1 Mg 0.0000 0.0000 0.0000
2 Mg 0.3312 0.6688 0.5000
3 Mg 0.3330 0.6670 0.0000
4 Mg 0.6670 0.3330 0.0000
5 Mg 0.6688 0.3312 0.5000
6 Mn 0.0000 0.0000 0.5000
7 Rh 0.1618 0.8382 0.2546
8 Rh 0.1618 0.8382 0.7454
9 Rh 0.5000 0.5000 0.2608
10 Rh 0.5000 0.5000 0.7392
11 Rh 0.8382 0.1618 0.2546
12 Rh 0.8382 0.1618 0.7454

Output
Total magnetization = 0.260 μB per atom
Formation energy = -0.445 eV per atom
Crystal system = orthorhombic
DFT total energy = -5.549 eV/atom
Space-group type = Cmmm (65)


Here is crystalline ZrAl3As at its relaxed geometry from Alexandria. Energies are from PBE.

Lattice parameters (Å, degrees): 5.2290 5.2290 5.2290 90.00 90.00 90.00
Atoms (fractional coordinates):
1 Zr 0.0000 0.0000 0.0000
2 Al 0.0000 0.0000 0.5000
3 Al 0.0000 0.5000 0.0000
4 Al 0.5000 0.0000 0.0000
5 As 0.5000 0.5000 0.5000

Output
Energy relative to the lowest polymorph listed for this composition = 511 meV per atom
Total magnetization = 0.000 μB per atom
Formation energy = 1.125 eV per atom
Crystal system = cubic
DFT total energy = -3.760 eV/atom
Space-group type = Pm-3m (221)


Number 4 is which compound?
CeSmPbN